1.
Computed, not measured: a relaxed structure of MgZn2Hg at the PBE level of DFT.

Results
Total magnetic moment, μB/f.u.: 0.00
Relative energy among the computed polymorphs, eV per atom: 0.046
E_form, eV per formula unit: 0.06

abc: 5.7653 5.7653 3.1121
angles: 105.43 105.43 119.29
With the nearest neighbours (Å) after each atom.
Sites, in units of the cell vectors:
Mg  0.0000  0.0000  0.0000  4 Zn 2.88, 4 Hg 2.91-2.94, 2 Mg 3.11
Zn  0.0000  0.5000  0.0000  2 Hg 2.88, 2 Mg 2.88, 6 Zn 2.91-3.11
Zn  0.5000  0.0000  0.0000  2 Hg 2.88, 2 Mg 2.88, 6 Zn 2.91-3.11
Hg  0.5000  0.5000  0.0000  4 Zn 2.88, 4 Mg 2.91-2.94, 2 Hg 3.11

---

2.
Computed, not measured: a relaxed structure of Co2MoP at the PBE level of DFT.

Results
Total magnetic moment, μB/f.u.: 0.89
E_form, eV per formula unit: -0.64

abc: 3.6267 5.0254 5.0254
angles: 32.04 90.00 90.00
With the nearest neighbours (Å) after each atom.
Sites, in units of the cell vectors:
Co  0.0000  0.0000  0.0000  3 P 2.48-2.73, 6 Co 2.58-2.77, 4 Mo 2.64
Co  0.5000  0.3764  0.3764  2 P 2.15
Mo  0.5000  0.6363  0.6363  7 Co 2.51-2.70, 4 P 2.56, 2 Mo 2.77
P  0.0000  0.2565  0.2565  2 Co 2.15

---

Which of these has the lowest E_form?
Co2MoP